Record 1
DFT (PBE) results for crystalline HoSnNO at its relaxed geometry.

POSCAR file:
```
HoSnNO
1.0
4.1864 0.0000 0.0000
0.0000 4.1864 0.0000
0.0000 0.0000 7.4363
Ho O Sn N
2 2 2 2
Cartesian
0.0000 2.0932 0.8629
2.0932 0.0000 6.5733
0.0000 0.0000 0.0000
2.0932 2.0932 0.0000
0.0000 0.0000 3.7181
2.0932 2.0932 3.7181
2.0932 0.0000 2.6079
0.0000 2.0932 4.8283
```

Properties
Electronic total energy = -6.515 eV/atom
Relative energy among the computed polymorphs = 1.665 eV/f.u.
SG = P4/nmm, No. 129

***

Record 2
DFT (PBE) results for crystalline HoSnNO at its relaxed geometry.

POSCAR file:
```
HoSnNO
1.0
2.6441 0.5287 2.0672
-3.1718 3.8784 3.0650
-2.1269 -4.8747 3.9673
N O Sn Ho
2 2 2 2
Cartesian
-3.4295 2.1490 3.8370
-2.8071 -1.9984 4.1017
-2.4664 0.3684 5.8527
-0.4305 -0.5396 3.4809
0.9779 -0.2278 1.5996
-2.2154 -1.9726 6.1304
-1.3959 -2.7382 2.4858
-2.5792 0.1235 3.2675
```

Properties
Electronic total energy = -6.931 eV/atom
Relative energy among the computed polymorphs = 0.000 eV/f.u.
SG = Pmc2_1, No. 26

***

Record 3
DFT (PBE) results for crystalline HoSnNO at its relaxed geometry.

POSCAR file:
```
HoSnNO
1.0
-1.0934 4.0836 5.1725
-6.1820 -3.2035 1.2223
2.5800 -3.6662 3.4398
Sn O Ho N
4 4 4 4
Cartesian
-1.8046 0.8100 6.5640
-0.2322 -2.0779 6.9478
-3.3367 -2.3090 4.3888
-1.7643 -5.1970 4.7726
-3.7350 -0.1686 4.2071
-2.8524 -0.4803 7.8541
-1.3691 -2.0368 5.0826
-2.2518 -1.7250 1.4357
-0.1227 -0.5640 3.9541
-5.0210 -0.7772 7.4008
1.5166 -3.7015 4.0218
-3.3818 -3.9147 7.4685
0.6967 -2.1499 2.5927
-4.6095 -2.5745 6.1201
-6.2566 0.5922 6.0893
-0.9504 1.0168 2.5620
```

Properties
Electronic total energy = -6.860 eV/atom
Relative energy among the computed polymorphs = 0.285 eV/f.u.
SG = Pca2_1, No. 29

***

Record 4
DFT (PBE) results for crystalline SrHoNO at its relaxed geometry.

POSCAR file:
```
SrHoNO
1.0
-2.0440 -3.5402 0.0000
0.0000 0.0000 5.0138
-6.2301 3.5970 0.0000
O Sr N Ho
2 2 2 2
Cartesian
-6.0268 1.1194 4.7064
-2.2472 -1.0627 2.1995
-6.2169 1.2292 2.2269
-2.0571 -1.1725 4.7337
-4.0351 2.3297 2.1055
-2.1950 1.2673 4.6123
-4.0762 2.3534 4.7692
-2.1539 1.2436 2.2623
```

Properties
Electronic total energy = -6.938 eV/atom
Relative energy among the computed polymorphs = 0.302 eV/f.u.
SG = Pmc2_1, No. 26

***

For each record above, in turn, the calculated total magnetization values are 0.0 0.0 0.0 0.0 μB per formula unit.